VASP calculation (PBE-GGA) on a relaxed Sr2CuPb crystal.

Unit cell a=4.206 b=4.206 c=9.389 alpha=103.51 beta=103.51 gamma=60.92
Fractional positions:
Sr 0.239 0.239 0.217
Sr 0.761 0.761 0.783
Cu 0.500 0.500 0.000
Pb 0.000 0.000 0.500

Output
As for the theoretical density: 5.30 Mg/m³. The final energy is -2.902 eV per atom. Its energy of formation is -0.11 eV per atom.